# NiAgP3O9

A geometry-optimized NiAgP3O9 structure (PBE with a Hubbard U, Alexandria).

abc: 14.055 10.851 10.061
angles: 90.00 90.00 90.00
Space group Pcca (No. 54)
One atom of each set of equivalent atoms:
Ni (0.000, 0.000, 0.000)
Ni (0.250, 0.500, 0.028)
Ag (0.123, 0.248, 0.479)
P (0.101, 0.473, 0.785)
P (0.126, 0.252, 0.950)
P (0.148, 0.046, 0.762)
O (0.000, 0.465, 0.250)
O (0.055, 0.176, 0.024)
O (0.066, 0.350, 0.862)
O (0.091, 0.081, 0.641)
O (0.106, 0.044, 0.360)
O (0.151, 0.435, 0.660)
O (0.152, 0.443, 0.381)
O (0.180, 0.170, 0.838)
O (0.202, 0.319, 0.026)
O (0.250, 0.000, 0.209)

Calculated values
* DOS(E_F): 0.00 states/eV/f.u.
* raw total energy: -6.56 eV per atom